Version i
DFT (PBE) results for BaMo2Au after structural relaxation.

Cell: 4.962 4.962 7.009 Å, 90.00 90.00 90.00°
Sites, in units of the cell vectors:
Ba1 0.000 0.000 0.000
Ba2 0.500 0.500 0.500
Mo1 0.000 0.000 0.500
Mo2 0.000 0.500 0.750
Mo3 0.500 0.000 0.250
Mo4 0.500 0.500 0.000
Au1 0.000 0.500 0.250
Au2 0.500 0.000 0.750

Output
N(E_F) (states/eV/atom): 0.73

***

Version ii
DFT (PBE) results for BaMo2Au after structural relaxation.

Cell: 2.906 5.300 11.357 Å, 90.00 90.00 90.00°
Sites, in units of the cell vectors:
Ba1 0.000 0.000 0.000
Ba2 0.500 0.500 0.500
Mo1 0.000 0.500 0.221
Mo2 0.000 0.500 0.779
Mo3 0.500 0.000 0.279
Mo4 0.500 0.000 0.721
Au1 0.000 0.000 0.500
Au2 0.500 0.500 0.000

Output
N(E_F) (states/eV/atom): 1.03

***

Version iii
DFT (PBE) results for BaMo2Au after structural relaxation.

Cell: 3.694 3.694 7.303 Å, 90.00 90.00 90.00°
Sites, in units of the cell vectors:
Ba1 0.000 0.000 0.000
Mo1 0.500 0.500 0.351
Mo2 0.500 0.500 0.649
Au1 0.000 0.000 0.500

Output
N(E_F) (states/eV/atom): 1.39

***

Version iv
DFT (PBE) results for BaMo2Au after structural relaxation.

Cell: 5.897 10.222 2.817 Å, 90.00 90.00 90.00°
Sites, in units of the cell vectors:
Ba1 0.000 0.000 0.000
Ba2 0.500 0.500 0.000
Mo1 0.250 0.250 0.500
Mo2 0.250 0.750 0.500
Mo3 0.750 0.250 0.500
Mo4 0.750 0.750 0.500
Au1 0.000 0.500 0.000
Au2 0.500 0.000 0.000

Output
N(E_F) (states/eV/atom): 1.10

***

The structure with the most favorable energy is version iii; the runner-up is 143 meV per atom above it.

***

Version i
DFT (PBE) results for BaMo3Au after structural relaxation.

Cell: 4.924 4.924 4.924 Å, 90.00 90.00 90.00°
Sites, in units of the cell vectors:
Ba1 0.000 0.000 0.000
Mo1 0.000 0.000 0.500
Mo2 0.000 0.500 0.000
Mo3 0.500 0.000 0.000
Au1 0.500 0.500 0.500

Output
N(E_F) (states/eV/atom): 1.64

***

Version ii
DFT (PBE) results for BaMo3Au after structural relaxation.

Cell: 5.127 5.127 5.127 Å, 90.00 90.00 90.00°
Sites, in units of the cell vectors:
Ba1 0.000 0.000 0.000
Mo1 0.000 0.500 0.500
Mo2 0.500 0.000 0.500
Mo3 0.500 0.500 0.000
Au1 0.500 0.500 0.500

Output
N(E_F) (states/eV/atom): 1.59

***

The structure with the most favorable energy is version ii; the runner-up is 1142 meV per atom above it.